## AcZr2MnN4 (PBE)

Data for a relaxed structure of AcZr2MnN4.

Cell lengths 3.344, 5.944, 11.206 Å; angles 90.00, 90.00, 106.34 degrees
Fractional coordinates of all 16 atoms:
1 Mn 0.167 0.334 0.250
2 Mn 0.833 0.666 0.750
3 Zr 0.633 0.266 0.047
4 Zr 0.367 0.734 0.547
5 Zr 0.633 0.266 0.453
6 Zr 0.367 0.734 0.953
7 N 0.264 0.528 0.115
8 N 0.736 0.472 0.615
9 N 0.736 0.472 0.885
10 N 0.415 0.830 0.750
11 N 0.000 0.000 0.000
12 N 0.000 0.000 0.500
13 N 0.264 0.528 0.385
14 N 0.585 0.170 0.250
15 Ac 0.904 0.807 0.250
16 Ac 0.096 0.193 0.750

Properties
* SG: Cmcm, No. 63
* size of the total moment: 0.0 μB per cell
* crystal system: orthorhombic
* E_form (uncorrected): -1.22 eV/atom